No. 1
Here is a relaxed structure of B3C2 from Alexandria. Energies are from PBE.

Results
density of states at the Fermi level: 1.37 states/eV/f.u.
space-group type: Imm2, No. 44
calculated density: 2.62 g/cm³
M_tot: 0.0 μB per cell

a = 10.3050 Å, b = 10.3050 Å, c = 10.3050 Å
α = 165.33°, β = 165.03°, γ = 21.02°
With the nearest neighbours (Å) after each atom.
Atoms (fractional coordinates):
B 0.0000 0.0000 0.0000  4 B 1.83-1.87
B 0.0625 0.5625 0.5000  2 C 1.65, 2 B 1.83
B 0.2043 0.2043 0.0000  4 C 1.58-1.75
B 0.4355 0.9355 0.5000  2 C 1.58
B 0.7835 0.7835 0.0000  2 C 1.52
B 0.8572 0.3572 0.5000  2 C 1.52
C 0.2478 0.7478 0.5000  4 B 1.52-1.58
C 0.3926 0.3926 0.0000  4 B 1.52-1.58
C 0.6097 0.6097 0.0000  2 C 1.53, 2 B 1.65
C 0.6486 0.1486 0.5000  2 C 1.53


No. 2
Here is a relaxed structure of BC from Alexandria. Energies are from PBE.

Results
density of states at the Fermi level: 0.26 states/eV/f.u.
space-group type: Fmmm, No. 69
calculated density: 2.78 g/cm³
M_tot: 0.0 μB per cell

a = 4.6881 Å, b = 3.7668 Å, c = 3.3055 Å
α = 82.77°, β = 52.85°, γ = 44.38°
With the nearest neighbours (Å) after each atom.
Atoms (fractional coordinates):
B 0.1500 0.8500 0.1500  2 C 1.67, 3 B 1.75-1.84
B 0.8500 0.1500 0.8500  2 C 1.67, 3 B 1.75-1.84
C 0.1963 0.1963 0.8037  2 C 1.47
C 0.8037 0.8037 0.1963  2 C 1.47


No. 3
Here is a relaxed structure of BC from Alexandria. Energies are from PBE.

Results
density of states at the Fermi level: 0.29 states/eV/f.u.
space-group type: Pmm2, No. 25
calculated density: 2.57 g/cm³
M_tot: 0.0 μB per cell

a = 2.7267 Å, b = 8.0016 Å, c = 4.0584 Å
α = 90.00°, β = 90.00°, γ = 90.00°
With the nearest neighbours (Å) after each atom.
Atoms (fractional coordinates):
B 0.0000 0.0000 0.0000  2 C 1.54
B 0.0000 0.1779 0.3795  3 C 1.55-1.57
B 0.0000 0.5000 0.4454  2 C 1.60
B 0.0000 0.8221 0.3795  3 C 1.55-1.57
B 0.5000 0.3705 0.9567  3 C 1.57-1.61
B 0.5000 0.6295 0.9567  3 C 1.57-1.61
C 0.0000 0.3228 0.1261  3 B 1.55-1.57
C 0.0000 0.6772 0.1261  3 B 1.55-1.57
C 0.5000 0.0000 0.8259  2 C 1.53, 2 B 1.54
C 0.5000 0.1075 0.5143  1 C 1.53, 2 B 1.57
C 0.5000 0.5000 0.6536  4 B 1.60-1.61
C 0.5000 0.8925 0.5143  1 C 1.53, 2 B 1.57


No. 4
Here is a relaxed structure of B7C5 from Alexandria. Energies are from PBE.

Results
density of states at the Fermi level: 3.33 states/eV/f.u.
space-group type: Pm, No. 6
calculated density: 2.50 g/cm³
M_tot: 0.0 μB per cell

a = 3.5990 Å, b = 2.6452 Å, c = 9.6074 Å
α = 90.00°, β = 100.12°, γ = 90.00°
With the nearest neighbours (Å) after each atom.
Atoms (fractional coordinates):
B 0.0000 0.0000 0.0000  3 C 1.55-1.59
B 0.0124 0.0000 0.7258  1 C 1.61, 3 B 1.77-1.79
B 0.2096 0.5000 0.6080  7 B 1.76-1.95
B 0.4464 0.5000 0.4625  2 C 1.56
B 0.4672 0.5000 0.9257  3 C 1.54-1.66
B 0.7124 0.5000 0.6536  7 B 1.77-1.93
B 0.9020 0.0000 0.5372  1 C 1.63, 3 B 1.78-1.79
C 0.2611 0.0000 0.8820  4 B 1.54-1.61
C 0.5685 0.0000 0.3977  1 C 1.47, 3 B 1.56-1.63
C 0.6687 0.0000 0.2563  3 C 1.47-1.49
C 0.7217 0.5000 0.1909  3 C 1.49
C 0.8475 0.5000 0.0517  1 C 1.49, 3 B 1.55-1.66


No. 5
Here is a relaxed structure of B7C5 from Alexandria. Energies are from PBE.

Results
density of states at the Fermi level: 1.07 states/eV/f.u.
space-group type: Pm, No. 6
calculated density: 2.86 g/cm³
M_tot: 0.0 μB per cell

a = 4.8771 Å, b = 2.6709 Å, c = 6.2997 Å
α = 90.00°, β = 106.24°, γ = 90.00°
With the nearest neighbours (Å) after each atom.
Atoms (fractional coordinates):
B 0.0000 0.0000 0.0000  1 C 1.56
B 0.0019 0.0000 0.2918  3 C 1.68-1.71, 2 B 1.78-1.84
B 0.1002 0.5000 0.8272  3 B 1.68-1.87, 1 C 1.70
B 0.2421 0.5000 0.6136  2 C 1.58, 1 B 1.68
B 0.3425 0.0000 0.2410  3 C 1.63-1.70, 1 B 1.78
B 0.5032 0.5000 0.9276  3 C 1.59-1.70
B 0.6610 0.0000 0.6343  4 C 1.65-1.68
C 0.3107 0.0000 0.5032  5 B 1.58-1.71
C 0.5121 0.5000 0.1998  1 C 1.50, 2 B 1.63
C 0.6681 0.0000 0.9027  4 B 1.56-1.68
C 0.8165 0.5000 0.3376  2 C 1.50-1.54
C 0.8338 0.5000 0.5856  1 C 1.54, 3 B 1.65-1.70


No. 6
Here is a relaxed structure of B7C5 from Alexandria. Energies are from PBE.

Results
density of states at the Fermi level: 2.14 states/eV/f.u.
space-group type: Cm, No. 8
calculated density: 2.52 g/cm³
M_tot: 0.0 μB per cell

a = 6.6784 Å, b = 6.6784 Å, c = 5.2845 Å
α = 105.64°, β = 105.64°, γ = 23.30°
With the nearest neighbours (Å) after each atom.
Atoms (fractional coordinates):
B 0.0000 0.0000 0.0000  3 C 1.57-1.59
B 0.0134 0.0134 0.4696  3 C 1.67-1.77, 1 B 1.80
B 0.1305 0.1305 0.7443  2 C 1.57
B 0.3697 0.3697 0.6234  2 C 1.57-1.59
B 0.6532 0.6532 0.3238  2 C 1.53
B 0.7649 0.7649 0.6033  1 C 1.62, 1 B 1.77
B 0.7999 0.7999 0.0342  3 C 1.56-1.61
C 0.0975 0.0975 0.2578  3 B 1.53-1.59
C 0.3671 0.3671 0.1317  2 C 1.51-1.61, 2 B 1.61
C 0.4345 0.4345 0.4138  1 C 1.51, 3 B 1.57-1.67
C 0.4372 0.4372 0.9248  3 B 1.57-1.59, 1 C 1.61
C 0.6935 0.6935 0.8100  4 B 1.56-1.62


Number 1: energy relative to the lowest polymorph listed for this composition 200 meV/atom, calculated formation energy 0.4112 eV/atom. Number 2: energy relative to the lowest polymorph listed for this composition 195 meV/atom, calculated formation energy 0.3457 eV/atom. Number 3: energy relative to the lowest polymorph listed for this composition 222 meV/atom, calculated formation energy 0.3732 eV/atom. Number 4: energy relative to the lowest polymorph listed for this composition 187 meV/atom, calculated formation energy 0.3511 eV/atom. Number 5: energy relative to the lowest polymorph listed for this composition 181 meV/atom, calculated formation energy 0.3457 eV/atom. Number 6: energy relative to the lowest polymorph listed for this composition 210 meV/atom, calculated formation energy 0.3747 eV/atom.